Crystalline BeCoBiAu2 at its relaxed geometry. Source: the Alexandria database, functional GGA-PBE.

The space group is P4/mmm (No. 123) and the conventional cell measures 4.5417, 4.5417 and 4.3069 Å, with angles of 90.00, 90.00 and 90.00 degrees. The distinct sites, in fractional coordinates, are Be at (0.0000, 0.0000, 0.0000), Co at (0.0000, 0.0000, 0.5000), Bi at (0.5000, 0.5000, 0.5000) and Au at (0.0000, 0.5000, 0.0000).

The energy comes out at -3.976 eV/atom.



Crystalline Be2BiIrAu at its relaxed geometry. Source: the Alexandria database, functional GGA-PBE.

The space group is P4/mmm (No. 123) and the conventional cell measures 4.2846, 4.2846 and 5.2416 Å, with angles of 90.00, 90.00 and 90.00 degrees. The distinct sites, in fractional coordinates, are Be at (0.0000, 0.5000, 0.0000), Bi at (0.0000, 0.0000, 0.5000), Ir at (0.5000, 0.5000, 0.0000) and Au at (0.5000, 0.5000, 0.5000).

The energy comes out at -4.278 eV/atom.



Crystalline LaBeBi2Au at its relaxed geometry. Source: the Alexandria database, functional GGA-PBE.

The space group is P4/mmm (No. 123) and the conventional cell measures 4.9186, 4.9186 and 5.5613 Å, with angles of 90.00, 90.00 and 90.00 degrees. The distinct sites, in fractional coordinates, are La at (0.0000, 0.0000, 0.0000), Be at (0.0000, 0.0000, 0.5000), Bi at (0.0000, 0.5000, 0.5000) and Au at (0.5000, 0.5000, 0.0000).

The energy comes out at -3.923 eV/atom.



Crystalline BeBiMoAu2 at its relaxed geometry. Source: the Alexandria database, functional GGA-PBE.

The space group is P4/mmm (No. 123) and the conventional cell measures 5.1190, 5.1190 and 5.2494 Å, with angles of 90.00, 90.00 and 90.00 degrees. The distinct sites, in fractional coordinates, are Be at (0.0000, 0.0000, 0.0000), Bi at (0.5000, 0.5000, 0.0000), Mo at (0.5000, 0.5000, 0.5000) and Au at (0.0000, 0.5000, 0.5000).

The energy comes out at -3.647 eV/atom.



Crystalline BeNb2BiAu at its relaxed geometry. Source: the Alexandria database, functional GGA-PBE.

The space group is P4/mmm (No. 123) and the conventional cell measures 5.2884, 5.2884 and 4.3340 Å, with angles of 90.00, 90.00 and 90.00 degrees. The distinct sites, in fractional coordinates, are Be at (0.0000, 0.0000, 0.0000), Nb at (0.0000, 0.5000, 0.5000), Bi at (0.0000, 0.0000, 0.5000) and Au at (0.5000, 0.5000, 0.0000).

The energy comes out at -4.509 eV/atom.



Crystalline Be2BiAuS at its relaxed geometry. Source: the Alexandria database, functional GGA-PBE.

The space group is P4/mmm (No. 123) and the conventional cell measures 4.3195, 4.3195 and 5.9004 Å, with angles of 90.00, 90.00 and 90.00 degrees. The distinct sites, in fractional coordinates, are Be at (0.0000, 0.5000, 0.0000), Bi at (0.0000, 0.0000, 0.5000), Au at (0.0000, 0.0000, 0.0000) and S at (0.5000, 0.5000, 0.5000).

The energy comes out at -3.257 eV/atom.



Crystalline BeBi2TeAu at its relaxed geometry. Source: the Alexandria database, functional GGA-PBE.

The space group is P4/mmm (No. 123) and the conventional cell measures 5.6833, 5.6833 and 4.3513 Å, with angles of 90.00, 90.00 and 90.00 degrees. The distinct sites, in fractional coordinates, are Be at (0.0000, 0.0000, 0.0000), Bi at (0.0000, 0.5000, 0.5000), Te at (0.5000, 0.5000, 0.0000) and Au at (0.0000, 0.0000, 0.5000).

The energy comes out at -3.226 eV/atom.



Crystalline BeAuBr at its relaxed geometry. Source: the Alexandria database, functional GGA-PBE.

The space group is C2/m (No. 12) and the conventional cell measures 11.0004, 3.2885 and 9.6765 Å, with angles of 90.00, 109.07 and 90.00 degrees. The distinct sites, in fractional coordinates, are Be at (0.2367, 0.0000, 0.3382), Au at (0.1232, 0.0000, 0.5014) and Br at (0.1828, 0.5000, 0.1743).

As for the energy above the most stable polymorph in this dataset: 0.000 eV per atom. The energy comes out at -3.149 eV/atom.



Crystalline BeAuBr3 at its relaxed geometry. Source: the Alexandria database, functional GGA-PBE.

The space group is Pm-3m (No. 221) and the conventional cell measures 5.2964, 5.2964 and 5.2964 Å, with angles of 90.00, 90.00 and 90.00 degrees. The distinct sites, in fractional coordinates, are Be at (0.0000, 0.0000, 0.0000), Au at (0.5000, 0.5000, 0.5000) and Br at (0.0000, 0.5000, 0.5000).

The energy comes out at -1.863 eV/atom.



Crystalline BeAuBr at its relaxed geometry. Source: the Alexandria database, functional GGA-PBE.

The space group is Imm2 (No. 44) and the conventional cell measures 2.9493, 3.3712 and 13.0757 Å, with angles of 90.00, 90.00 and 90.00 degrees. The distinct sites, in fractional coordinates, are Be at (0.0000, 0.0000, 0.0000), Au at (0.0000, 0.0000, 0.4271) and Br at (0.0000, 0.0000, 0.1613).

As for the energy above the most stable polymorph in this dataset: 0.124 eV per atom. The energy comes out at -3.025 eV/atom.



Crystalline BeAuBr at its relaxed geometry. Source: the Alexandria database, functional GGA-PBE.

The space group is F-43m (No. 216) and the conventional cell measures 6.3460, 6.3460 and 6.3460 Å, with angles of 90.00, 90.00 and 90.00 degrees. The distinct sites, in fractional coordinates, are Be at (0.0000, 0.0000, 0.0000), Au at (0.2500, 0.2500, 0.2500) and Br at (0.0000, 0.0000, 0.5000).

As for the energy above the most stable polymorph in this dataset: 0.912 eV per atom. The energy comes out at -2.237 eV/atom.



Crystalline Be3AuBr at its relaxed geometry. Source: the Alexandria database, functional GGA-PBE.

The space group is Pm-3m (No. 221) and the conventional cell measures 4.5214, 4.5214 and 4.5214 Å, with angles of 90.00, 90.00 and 90.00 degrees. The distinct sites, in fractional coordinates, are Be at (0.0000, 0.0000, 0.5000), Au at (0.0000, 0.0000, 0.0000) and Br at (0.5000, 0.5000, 0.5000).

As for the energy above the most stable polymorph in this dataset: 0.000 eV per atom. The energy comes out at -2.676 eV/atom.